This record from the Alexandria database describes an optimized crystal structure of SmHoTl4. The functional is PBE.

Properties
The formation energy is -0.22 eV/atom. Its total energy is -20.104 eV/cell. For the spin magnetization, the calculation gives 0.0 Bohr magnetons per cell.

Lattice parameters (Å, degrees): 3.7981 5.0854 8.7361 90.00 90.04 90.00
Space group Pm (No. 6)
Asymmetric unit:
1 Sm 0.0000 0.0000 0.0000 x1
2 Ho 0.9985 0.5000 0.4992 x1
3 Tl 0.3500 0.0000 0.3363 x1
4 Tl 0.3635 0.5000 0.8298 x1
5 Tl 0.6333 0.5000 0.1688 x1
6 Tl 0.6499 0.0000 0.6637 x1